[1]
The following is a PBE-GGA calculation of ZrO4 after structural relaxation, from the Alexandria database.

abc: 4.1958 4.1958 4.1958
angles: 90.00 90.00 90.00
Space group Pm-3m (No. 221)
Symmetry-distinct sites (fractional):
Zr 0.0000 0.0000 0.0000 [1 per cell]
O 0.0000 0.0000 0.5000 [3 per cell]
O 0.5000 0.5000 0.5000 [1 per cell]

Summary:
Its formation energy without anion corrections is -90.9 kJ/mol of atoms.

[2]
The following is a PBE-GGA calculation of ZrZn4Re after structural relaxation, from the Alexandria database.

abc: 7.1033 7.1033 7.1033
angles: 90.00 90.00 90.00
Space group F-43m (No. 216)
Symmetry-distinct sites (fractional):
Zr 0.0000 0.0000 0.0000 [4 per cell]
Zn 0.1241 0.1241 0.3759 [16 per cell]
Re 0.2500 0.2500 0.7500 [4 per cell]

Summary:
The formation energy is -0.99 eV per formula unit.

[3]
The following is a PBE-GGA calculation of SmThIn2 after structural relaxation, from the Alexandria database.

abc: 5.0144 5.0144 4.5175
angles: 90.00 90.00 90.00
Space group P4/mmm (No. 123)
Symmetry-distinct sites (fractional):
Sm 0.0000 0.0000 0.0000 [1 per cell]
Th 0.5000 0.5000 0.0000 [1 per cell]
In 0.0000 0.5000 0.5000 [2 per cell]

Summary:
The formation energy is -1.43 eV per formula unit.

[4]
The following is a PBE-GGA calculation of TbNd2YSc4 after structural relaxation, from the Alexandria database.

abc: 5.0034 5.0034 9.1903
angles: 90.00 90.00 90.00
Space group P4/mmm (No. 123)
Symmetry-distinct sites (fractional):
Tb 0.0000 0.0000 0.0000 [1 per cell]
Nd 0.0000 0.0000 0.5000 [1 per cell]
Nd 0.5000 0.5000 0.0000 [1 per cell]
Y 0.5000 0.5000 0.5000 [1 per cell]
Sc 0.0000 0.5000 0.2494 [4 per cell]

Summary:
The formation energy is 0.43 eV per formula unit.

[5]
The following is a PBE-GGA calculation of PmAlNiHg after structural relaxation, from the Alexandria database.

abc: 6.8410 6.8410 6.8410
angles: 90.00 90.00 90.00
Space group F-43m (No. 216)
Symmetry-distinct sites (fractional):
Pm 0.0000 0.0000 0.0000 [4 per cell]
Al 0.0000 0.0000 0.5000 [4 per cell]
Ni 0.2500 0.2500 0.2500 [4 per cell]
Hg 0.2500 0.2500 0.7500 [4 per cell]

Summary:
The formation energy is -0.98 eV per formula unit.

[6]
The following is a PBE-GGA calculation of LiAl2Ni9 after structural relaxation, from the Alexandria database.

abc: 3.5667 3.5667 10.5569
angles: 90.00 90.00 90.00
Space group P4/mmm (No. 123)
Symmetry-distinct sites (fractional):
Li 0.0000 0.0000 0.0000 [1 per cell]
Al 0.0000 0.0000 0.3313 [2 per cell]
Ni 0.0000 0.5000 0.1643 [4 per cell]
Ni 0.0000 0.5000 0.5000 [2 per cell]
Ni 0.5000 0.5000 0.0000 [1 per cell]
Ni 0.5000 0.5000 0.3321 [2 per cell]

Summary:
The formation energy is -3.27 eV per formula unit.

[7]
The following is a PBE-GGA calculation of Ac2PrH after structural relaxation, from the Alexandria database.

abc: 3.9297 3.9297 28.1627
angles: 90.00 90.00 120.00
Space group R3m (No. 160, hexagonal axes)
Symmetry-distinct sites (fractional):
Ac 0.0000 0.0000 0.0000 [3 per cell]
Ac 0.0000 0.0000 0.2214 [3 per cell]
Pr 0.0000 0.0000 0.7759 [3 per cell]
H 0.0000 0.0000 0.6089 [3 per cell]

Summary:
The polymorph energy (0 for the lowest one) is 0 meV per atom.

[8]
The following is a PBE-GGA calculation of FeTcBr2 after structural relaxation, from the Alexandria database.

abc: 3.1363 6.0869 8.4673
angles: 90.00 90.00 90.00
Space group Immm (No. 71)
Symmetry-distinct sites (fractional):
Fe 0.0000 0.0000 0.0000 [2 per cell]
Tc 0.0000 0.0000 0.5000 [2 per cell]
Br 0.0000 0.5000 0.2512 [4 per cell]

Summary:
Its formation energy without anion corrections is 83.4 kJ/mol of atoms. The polymorph energy (0 for the lowest one) is 712 meV per atom.

[9]
The following is a PBE-GGA calculation of Cs2MgF after structural relaxation, from the Alexandria database.

abc: 4.4852 7.1751 12.0923
angles: 73.02 89.98 89.96
Space group P1 (No. 1)
Symmetry-distinct sites (fractional):
Cs 0.0000 0.0000 0.0000 [1 per cell]
Cs 0.0027 0.3728 0.2125 [1 per cell]
Cs 0.4989 0.5496 0.8174 [1 per cell]
Cs 0.5025 0.0856 0.5660 [1 per cell]
Mg 0.0038 0.6544 0.5053 [1 per cell]
Mg 0.5046 0.7980 0.3122 [1 per cell]
F 0.0027 0.7766 0.6304 [1 per cell]
F 0.9989 0.4014 0.9717 [1 per cell]

Summary:
Its formation energy without anion corrections is -112.6 kJ/mol of atoms. The polymorph energy (0 for the lowest one) is 36 meV per atom.

[10]
The following is a PBE-GGA calculation of CeCuGeO after structural relaxation, from the Alexandria database.

abc: 4.0571 4.0571 8.0152
angles: 90.00 90.00 90.00
Space group P4/nmm (No. 129, origin choice 2)
Symmetry-distinct sites (fractional):
Ce 0.2500 0.2500 0.1482 [2 per cell]
Cu 0.2500 0.7500 0.5000 [2 per cell]
Ge 0.2500 0.2500 0.6642 [2 per cell]
O 0.2500 0.7500 0.0000 [2 per cell]

Summary:
Its formation energy without anion corrections is -156.0 kJ/mol of atoms.

[11]
The following is a PBE-GGA calculation of HgIr2W after structural relaxation, from the Alexandria database.

abc: 5.8230 7.7708 2.8655
angles: 90.00 90.00 90.00
Space group Cmmm (No. 65)
Symmetry-distinct sites (fractional):
Hg 0.0000 0.0000 0.0000 [2 per cell]
Ir 0.2500 0.2500 0.5000 [4 per cell]
W 0.0000 0.5000 0.0000 [2 per cell]

Summary:
The formation energy is 1.46 eV per formula unit.

[12]
The following is a PBE-GGA calculation of Th8Si3OsSe4 after structural relaxation, from the Alexandria database.

abc: 8.4991 8.4991 20.8841
angles: 90.00 90.00 120.00
Space group R-3m (No. 166, hexagonal axes)
Symmetry-distinct sites (fractional):
Th 0.0000 0.0000 0.2448 [6 per cell]
Th 0.0105 0.5052 0.2424 [18 per cell]
Si 0.0000 0.5000 0.5000 [9 per cell]
Os 0.0000 0.0000 0.5000 [3 per cell]
Se 0.0000 0.0000 0.0000 [3 per cell]
Se 0.0000 0.5000 0.0000 [9 per cell]

Summary:
Its formation energy without anion corrections is -108.6 kJ/mol of atoms.

These records have magnetic moment values of 4.00; 0.00; 0.00; 0.00; 0.00; 3.22; 0.01; 11.68; 0.00; 0.00; 0.00; 0.00 Bohr magnetons per cell, in the order they appear.